# 1
# LaRuBr2 | Alexandria via LeMat-Bulk | PBE | relaxed
data_LaRuBr2
_chemical_formula_sum 'La2 Ru2 Br4'
_symmetry_space_group_name_H-M 'C m m 2'
_symmetry_Int_Tables_number 35
_cell_length_a 4.4627
_cell_length_b 5.9161
_cell_length_c 8.7254
_cell_angle_alpha 90.00
_cell_angle_beta 90.00
_cell_angle_gamma 90.00
loop_
_symmetry_equiv_pos_as_xyz
'x,y,z'
'-x,-y,z'
'-x,y,z'
'x,-y,z'
'x+1/2,y+1/2,z'
'-x+1/2,-y+1/2,z'
'-x+1/2,y+1/2,z'
'x+1/2,-y+1/2,z'
loop_
_atom_site_label
_atom_site_type_symbol
_atom_site_fract_x
_atom_site_fract_y
_atom_site_fract_z
La1 La 0.0000 0.0000 0.0000
Ru1 Ru 0.0000 0.5000 0.2096
Br1 Br 0.0000 0.0000 0.3503
Br2 Br 0.0000 0.5000 0.7606
# total energy = -38.79 eV for the cell shown
# energy relative to the elements, uncorrected = -0.46 eV/atom
# D(E_F) = 2.09 states/eV/f.u.
# energy above the lowest structure with this stoichiometry = 0.291 eV/atom

---

# 2
# HfFeNiP2 | Alexandria via LeMat-Bulk | PBE | relaxed
data_HfFeNiP2
_chemical_formula_sum 'Hf1 Fe1 Ni1 P2'
_symmetry_space_group_name_H-M 'P 4/m m m'
_symmetry_Int_Tables_number 123
_symmetry_space_group_name_Hall '-P 4 2'
_cell_length_a 4.1793
_cell_length_b 4.1793
_cell_length_c 4.7714
_cell_angle_alpha 90.00
_cell_angle_beta 90.00
_cell_angle_gamma 90.00
loop_
_atom_site_label
_atom_site_type_symbol
_atom_site_fract_x
_atom_site_fract_y
_atom_site_fract_z
Hf1 Hf 0.0000 0.0000 0.0000
Fe1 Fe 0.5000 0.5000 0.0000
Ni1 Ni 0.0000 0.0000 0.5000
P1 P 0.0000 0.5000 0.5000
# total energy = -31.43 eV for the cell shown
# D(E_F) = 5.71 states/eV/f.u.
# ΔH_f (0 K) = 0.717 eV per atom